No. 1
Fe2CuNi, optimized geometry, DFT PBE; E = -26.655 eV per formula unit; total moment = 5.974 μB/f.u.; DOS(E_F) = 2.66 states/eV/f.u.; mass density = 8.37 Mg/m³
1.0
2.521 0.000 0.000
0.000 3.661 0.000
-0.016 0.000 5.027
Fe Cu Ni
2 1 1
Direct
0.000 0.000 0.245
0.000 0.000 0.755
0.500 0.500 0.500
0.500 0.500 0.000

=====

No. 2
Fe2CuNi, optimized geometry, DFT PBE; E = -26.605 eV per formula unit; total moment = 5.850 μB/f.u.; DOS(E_F) = 2.75 states/eV/f.u.; mass density = 8.35 Mg/m³
1.0
2.603 0.000 0.000
0.000 3.420 0.000
0.000 0.000 5.227
Fe Cu Ni
2 1 1
Direct
0.000 0.000 0.000
0.500 0.500 0.258
0.500 0.500 0.748
0.000 0.000 0.498

=====

No. 3
FeCu2Ni4, optimized geometry, DFT PBE; E = -39.772 eV per formula unit; total moment = 4.593 μB/f.u.; DOS(E_F) = 8.15 states/eV/f.u.; mass density = 8.80 Mg/m³
1.0
3.995 -1.766 0.000
3.995 1.766 0.000
-0.776 0.000 5.589
Fe Cu Ni
1 2 4
Direct
0.000 0.000 0.000
0.144 0.144 0.430
0.856 0.856 0.570
0.286 0.286 0.864
0.430 0.430 0.283
0.570 0.570 0.717
0.714 0.714 0.136

=====

No. 4
Fe2CuNi, optimized geometry, DFT PBE; E = -26.505 eV per formula unit; total moment = 5.928 μB/f.u.; DOS(E_F) = 3.45 states/eV/f.u.; mass density = 8.34 Mg/m³
1.0
1.264 0.729 8.423
-1.264 0.729 8.423
0.000 -1.459 8.423
Fe Cu Ni
2 1 1
Direct
0.000 0.000 0.000
0.170 0.170 0.170
0.752 0.752 0.752
0.585 0.585 0.585

=====

No. 5
FeCuNi5, optimized geometry, DFT PBE; E = -40.281 eV per formula unit; total moment = 5.709 μB/f.u.; DOS(E_F) = 8.36 states/eV/f.u.; mass density = 8.12 Mg/m³
1.0
3.536 0.000 0.000
0.000 3.536 0.000
0.000 0.000 6.754
Fe Cu Ni
1 1 5
Direct
0.000 0.000 0.000
0.500 0.500 0.500
0.000 0.500 0.257
0.000 0.500 0.743
0.500 0.000 0.257
0.500 0.000 0.743
0.500 0.500 0.000

=====

No. 6
FeCuNi, optimized geometry, DFT PBE; E = -18.221 eV per formula unit; total moment = 3.343 μB/f.u.; DOS(E_F) = 2.54 states/eV/f.u.; mass density = 8.54 Mg/m³
1.0
2.195 -3.814 0.000
2.195 3.814 0.000
-1.479 0.000 4.139
Fe Cu Ni
2 2 2
Direct
0.085 0.915 0.750
0.915 0.085 0.250
0.250 0.750 0.250
0.750 0.250 0.750
0.421 0.579 0.750
0.579 0.421 0.250

=====

No. 7
Fe2CuNi, optimized geometry, DFT PBE; E = -26.594 eV per formula unit; total moment = 6.005 μB/f.u.; DOS(E_F) = 2.63 states/eV/f.u.; mass density = 8.36 Mg/m³
1.0
-1.777 1.777 3.679
1.777 -1.777 3.679
1.777 1.777 -3.679
Fe Cu Ni
2 1 1
Direct
0.250 0.750 0.500
0.750 0.250 0.500
0.000 0.000 0.000
0.500 0.500 0.000

=====

No. 8
FeCu2Ni, optimized geometry, DFT PBE; E = -22.097 eV per formula unit; total moment = 3.249 μB/f.u.; DOS(E_F) = 2.55 states/eV/f.u.; mass density = 8.61 Mg/m³
1.0
2.528 0.000 0.000
0.000 3.708 0.000
0.000 0.000 4.972
Fe Cu Ni
1 2 1
Direct
0.000 0.000 0.000
0.500 0.500 0.252
0.500 0.500 0.748
0.000 0.000 0.500

=====

Question: What is the mass density in the third record?
Answer: 8.80 Mg/m³

=====

Question: Look up the E of the fourth one.
Answer: -26.505 eV per formula unit

=====

Question: Which of these has the highest DOS(E_F)?
Answer: FeCuNi5